1.
Material: MnTc
Method: DFT, GGA-PBE
State: optimized geometry

The space group is No. 65. For the total energy, the calculation gives -9.668 eV per atom. The formation energy is 100 meV/atom. The density of states at the Fermi level comes out at 2.0 states/eV/cell. The value obtained for the volume is 13.0 Å³ per atom.

a b c (Å): 2.665 4.514 4.519
angles (deg): 130.53 89.84 53.87
Site moments in Bohr magnetons follow the coordinates.
Atoms (fractional coordinates):
Tc 0.444 0.019 0.785  -0.36
Mn 0.944 0.019 0.285  1.34

***

2.
Material: MnTc
Method: DFT, GGA-PBE
State: optimized geometry

The space group is No. 74. For the total energy, the calculation gives -9.662 eV per atom. The formation energy is 106 meV/atom. The density of states at the Fermi level comes out at 6.0 states/eV/cell. The value obtained for the volume is 13.4 Å³ per atom.

a b c (Å): 4.177 4.978 3.002
angles (deg): 72.45 90.00 114.80
Site moments in Bohr magnetons follow the coordinates.
Atoms (fractional coordinates):
Mn 0.003 0.007 0.997  2.31
Mn 0.247 0.493 0.253  2.31
Tc 0.496 0.992 0.504  -0.16
Tc 0.754 0.508 0.746  -0.16

***

3.
Material: MnTc
Method: DFT, GGA-PBE
State: optimized geometry

The space group is No. 225. For the total energy, the calculation gives -8.854 eV per atom. The formation energy is 914 meV/atom. The density of states at the Fermi level comes out at 2.1 states/eV/cell. The value obtained for the volume is 14.5 Å³ per atom.

a b c (Å): 3.452 3.452 3.452
angles (deg): 60.00 60.00 60.00
Site moments in Bohr magnetons follow the coordinates.
Atoms (fractional coordinates):
Mn 0.000 0.000 0.000  1.65
Tc 0.500 0.500 0.500  -0.91

***

volume of number 1 (MnTc)?
13.0 Å³ per atom

***

The highest volume belongs to which entry?
number 3

***

Which of these has the highest volume?
number 3

***

Look up the volume of the third one.
14.5 Å³ per atom